Material: SmH7C8SO9
Method: DFT, PBE
State: relaxed

- total DFT energy (no corrections) (eV per atom) = -6.7606

a = 6.2781 Å, b = 8.6328 Å, c = 10.5762 Å
α = 91.46°, β = 99.51°, γ = 107.86°
Element x y z (fractional)
1 O 0.6115 0.9298 0.3642
2 O 0.5345 0.4030 0.7016
3 O 0.1512 0.7476 0.2598
4 O 0.3885 0.0702 0.6358
5 O 0.3174 0.3205 0.4128
6 O 0.6268 0.8705 0.7478
7 O 0.1632 0.2071 0.8373
8 O 0.8368 0.7929 0.1627
9 O 0.4655 0.5970 0.2984
10 O 0.8488 0.2524 0.7402
11 O 0.8393 0.2457 0.4447
12 O 0.9081 0.9583 0.6072
13 O 0.1607 0.7543 0.5553
14 O 0.6826 0.6795 0.5872
15 O 0.8210 0.4874 0.3814
16 O 0.0919 0.0417 0.3928
17 O 0.3732 0.1295 0.2522
18 O 0.1790 0.5126 0.6186
19 C 0.0194 0.2259 0.1997
20 C 0.9512 0.7979 0.9257
21 C 0.7536 0.3202 0.9965
22 C 0.2464 0.6798 0.0035
23 C 0.7324 0.3505 0.1228
24 C 0.0230 0.7656 0.1564
25 C 0.1599 0.6512 0.6398
26 C 0.8643 0.3048 0.2263
27 C 0.1357 0.6952 0.7737
28 C 0.8401 0.3488 0.3602
29 C 0.0488 0.2021 0.0743
30 C 0.2676 0.6495 0.8772
31 C 0.9806 0.7741 0.8003
32 C 0.9770 0.2344 0.8436
33 C 0.9174 0.2497 0.9725
34 C 0.0826 0.7503 0.0275
35 H 0.4556 0.9085 0.3178
36 H 0.3516 0.6438 0.0823
37 H 0.4125 0.4983 0.3453
38 H 0.5444 0.0915 0.6822
39 H 0.1798 0.1513 0.0547
40 H 0.8202 0.8487 0.9453
41 H 0.3876 0.5883 0.8564
42 H 0.3208 0.9508 0.6126
43 H 0.6484 0.3562 0.9177
44 H 0.6792 0.0492 0.3874
45 H 0.5875 0.5017 0.6547
46 H 0.6124 0.4117 0.1436
47 H 0.3408 0.6475 0.2851
48 H 0.6592 0.3525 0.7149
49 S 0.7847 0.8261 0.6808
50 S 0.2153 0.1739 0.3192
51 Sm 0.8501 0.7615 0.3893
52 Sm 0.1499 0.2385 0.6107

Material: TmH7C8SO9
Method: DFT, PBE
State: relaxed

- total DFT energy (no corrections) (eV per atom) = -6.7553

a = 6.2245 Å, b = 8.4656 Å, c = 10.4759 Å
α = 90.76°, β = 100.07°, γ = 108.13°
Element x y z (fractional)
1 O 0.4669 0.5876 0.3023
2 O 0.1443 0.7335 0.2617
3 O 0.3807 0.1267 0.2565
4 O 0.6876 0.6950 0.5774
5 O 0.8557 0.2665 0.7383
6 O 0.8183 0.4832 0.3855
7 O 0.3124 0.3050 0.4226
8 O 0.1776 0.2277 0.8371
9 O 0.1817 0.5168 0.6145
10 O 0.8538 0.2404 0.4501
11 O 0.1462 0.7596 0.5499
12 O 0.0828 0.0181 0.3855
13 O 0.6226 0.9198 0.3625
14 O 0.3774 0.0802 0.6375
15 O 0.6193 0.8733 0.7435
16 O 0.8224 0.7723 0.1629
17 O 0.9172 0.9819 0.6145
18 O 0.5331 0.4124 0.6977
19 C 0.1347 0.6984 0.7717
20 C 0.8440 0.3443 0.3638
21 C 0.7524 0.3223 0.9964
22 C 0.8653 0.3016 0.2283
23 C 0.0150 0.7518 0.1568
24 C 0.9468 0.7967 0.9251
25 C 0.9211 0.2546 0.9724
26 C 0.0532 0.2033 0.0749
27 C 0.9850 0.2482 0.8432
28 C 0.2476 0.6777 0.0036
29 C 0.7302 0.3488 0.1239
30 C 0.0223 0.2228 0.2014
31 C 0.9777 0.7772 0.7986
32 C 0.0789 0.7454 0.0276
33 C 0.2698 0.6512 0.8761
34 C 0.1560 0.6557 0.6362
35 Tm 0.1556 0.2502 0.6173
36 Tm 0.8444 0.7498 0.3827
37 S 0.7864 0.8382 0.6776
38 S 0.2136 0.1618 0.3224
39 H 0.3064 0.9596 0.6102
40 H 0.6594 0.3614 0.7125
41 H 0.3918 0.5906 0.8548
42 H 0.3549 0.6400 0.0831
43 H 0.6082 0.4094 0.1452
44 H 0.4149 0.4887 0.3522
45 H 0.5851 0.5113 0.6478
46 H 0.8138 0.8467 0.9446
47 H 0.4625 0.9011 0.3209
48 H 0.6451 0.3600 0.9169
49 H 0.5375 0.0989 0.6791
50 H 0.3406 0.6386 0.2875
51 H 0.1862 0.1533 0.0554
52 H 0.6936 0.0404 0.3898

Material: ZnH6C2S2O6
Method: DFT, PBE
State: relaxed

- total DFT energy (no corrections) (eV per atom) = -5.3078

a = 6.6407 Å, b = 6.6407 Å, c = 8.8111 Å
α = 105.48°, β = 105.48°, γ = 105.06°
Element x y z (fractional)
1 H 0.6267 0.5114 0.2147
2 H 0.0495 0.6540 0.7329
3 H 0.4798 0.9933 0.8220
4 H 0.9041 0.2352 0.1341
5 H 0.6540 0.0495 0.2329
6 H 0.6303 0.5153 0.4202
7 H 0.5114 0.6267 0.7147
8 H 0.9329 0.8355 0.3432
9 H 0.8355 0.9329 0.8432
10 H 0.5153 0.6303 0.9202
11 H 0.2352 0.9041 0.6341
12 H 0.9933 0.4798 0.3220
13 O 0.8657 0.7883 0.4241
14 O 0.7631 0.2007 0.3162
15 O 0.9751 0.0987 0.7775
16 O 0.0987 0.9751 0.2775
17 O 0.5351 0.9383 0.4888
18 O 0.7883 0.8657 0.9241
19 O 0.1692 0.2685 0.5481
20 O 0.9383 0.5351 0.9888
21 O 0.4404 0.8149 0.1732
22 O 0.2007 0.7631 0.8162
23 O 0.8149 0.4404 0.6732
24 O 0.2685 0.1692 0.0481
25 S 0.1869 0.2326 0.3736
26 S 0.4298 0.7347 0.3236
27 S 0.2326 0.1869 0.8736
28 S 0.7347 0.4298 0.8236
29 C 0.9411 0.2970 0.2704
30 C 0.6177 0.6550 0.8428
31 C 0.2970 0.9411 0.7704
32 C 0.6550 0.6177 0.3428
33 Zn 0.8537 0.1459 0.5551
34 Zn 0.1459 0.8537 0.0551

Copy entry 2 word for word.
Material: TmH7C8SO9
Method: DFT, PBE
State: relaxed

- total DFT energy (no corrections) (eV per atom) = -6.7553

a = 6.2245 Å, b = 8.4656 Å, c = 10.4759 Å
α = 90.76°, β = 100.07°, γ = 108.13°
Element x y z (fractional)
1 O 0.4669 0.5876 0.3023
2 O 0.1443 0.7335 0.2617
3 O 0.3807 0.1267 0.2565
4 O 0.6876 0.6950 0.5774
5 O 0.8557 0.2665 0.7383
6 O 0.8183 0.4832 0.3855
7 O 0.3124 0.3050 0.4226
8 O 0.1776 0.2277 0.8371
9 O 0.1817 0.5168 0.6145
10 O 0.8538 0.2404 0.4501
11 O 0.1462 0.7596 0.5499
12 O 0.0828 0.0181 0.3855
13 O 0.6226 0.9198 0.3625
14 O 0.3774 0.0802 0.6375
15 O 0.6193 0.8733 0.7435
16 O 0.8224 0.7723 0.1629
17 O 0.9172 0.9819 0.6145
18 O 0.5331 0.4124 0.6977
19 C 0.1347 0.6984 0.7717
20 C 0.8440 0.3443 0.3638
21 C 0.7524 0.3223 0.9964
22 C 0.8653 0.3016 0.2283
23 C 0.0150 0.7518 0.1568
24 C 0.9468 0.7967 0.9251
25 C 0.9211 0.2546 0.9724
26 C 0.0532 0.2033 0.0749
27 C 0.9850 0.2482 0.8432
28 C 0.2476 0.6777 0.0036
29 C 0.7302 0.3488 0.1239
30 C 0.0223 0.2228 0.2014
31 C 0.9777 0.7772 0.7986
32 C 0.0789 0.7454 0.0276
33 C 0.2698 0.6512 0.8761
34 C 0.1560 0.6557 0.6362
35 Tm 0.1556 0.2502 0.6173
36 Tm 0.8444 0.7498 0.3827
37 S 0.7864 0.8382 0.6776
38 S 0.2136 0.1618 0.3224
39 H 0.3064 0.9596 0.6102
40 H 0.6594 0.3614 0.7125
41 H 0.3918 0.5906 0.8548
42 H 0.3549 0.6400 0.0831
43 H 0.6082 0.4094 0.1452
44 H 0.4149 0.4887 0.3522
45 H 0.5851 0.5113 0.6478
46 H 0.8138 0.8467 0.9446
47 H 0.4625 0.9011 0.3209
48 H 0.6451 0.3600 0.9169
49 H 0.5375 0.0989 0.6791
50 H 0.3406 0.6386 0.2875
51 H 0.1862 0.1533 0.0554
52 H 0.6936 0.0404 0.3898